Density functional theory data (PBE) for a relaxed structure of KHg2Os.

Geometry as POSCAR:
```
KHg2Os
1.0
-2.133 2.133 4.889
2.133 -2.133 4.889
2.133 2.133 -4.889
K Hg Os
1 2 1
direct
0.000 0.000 0.000 K
0.500 0.500 0.000 Hg
0.750 0.250 0.500 Hg
0.250 0.750 0.500 Os
```

* N(E_F): 2.76 states/eV/f.u.
* magnetic moment: 0.9 μB per cell
* crystal system: tetragonal
* DFT formation energy: 23.78 kcal/mol of atoms
* calculated density: 11.76 g/cm³
* space-group type: I-4m2 (119)

Density functional theory data (PBE) for a relaxed structure of Sb2WCl.

Geometry as POSCAR:
```
Sb2WCl
1.0
-3.288 3.288 6.274
3.288 -3.288 6.274
3.288 3.288 -6.274
Sb W Cl
4 2 2
direct
0.059 0.625 0.934 Sb
0.375 0.309 0.434 Sb
0.691 0.125 0.066 Sb
0.875 0.941 0.566 Sb
0.000 0.000 0.000 W
0.750 0.250 0.500 W
0.250 0.750 0.500 Cl
0.500 0.500 0.000 Cl
```

* raw formation energy: 669 meV/atom
* N(E_F): 4.41 states/eV/f.u.
* magnetic moment: 0.0 μB per cell
* crystal system: tetragonal
* calculated density: 5.67 g/cm³
* space-group type: I-42d (122)

Density functional theory data (PBE) for a relaxed structure of ErFeGe4.

Geometry as POSCAR:
```
ErFeGe4
1.0
5.071 0.000 0.000
0.000 5.071 0.000
0.000 0.000 9.686
Er Fe Ge
2 2 8
direct
0.250 0.750 0.250 Er
0.750 0.250 0.750 Er
0.250 0.750 0.750 Fe
0.750 0.250 0.250 Fe
0.006 0.250 0.052 Ge
0.250 0.006 0.552 Ge
0.250 0.494 0.552 Ge
0.494 0.250 0.052 Ge
0.506 0.750 0.948 Ge
0.750 0.506 0.448 Ge
0.750 0.994 0.448 Ge
0.994 0.750 0.948 Ge
```

* N(E_F): 3.97 states/eV/f.u.
* magnetic moment: 2.5 μB per cell
* crystal system: tetragonal
* DFT formation energy: 2.05 kcal/mol of atoms
* calculated density: 6.85 g/cm³
* space-group type: P4_2/nmc (137)

Density functional theory data (PBE) for a relaxed structure of HfMnPd6.

Geometry as POSCAR:
```
HfMnPd6
1.0
3.627 2.094 3.256
-3.627 2.094 3.256
0.000 -4.189 3.256
Hf Mn Pd
1 1 6
direct
0.000 0.000 0.000 Hf
0.500 0.500 0.500 Mn
0.166 0.166 0.542 Pd
0.166 0.542 0.166 Pd
0.458 0.834 0.834 Pd
0.542 0.166 0.166 Pd
0.834 0.458 0.834 Pd
0.834 0.834 0.458 Pd
```

* N(E_F): 4.66 states/eV/f.u.
* magnetic moment: 4.5 μB per cell
* crystal system: trigonal
* DFT formation energy: 0.42 kcal/mol of atoms
* calculated density: 9.76 g/cm³
* space-group type: R-3m (166)